No. 1
# AlGa2Ni2, relaxed, DFT PBE-GGA
data_AlGa2Ni2
_chemical_formula_sum 'Al2 Ga4 Ni4'
_symmetry_space_group_name_H-M 'P 4/m b m'
_symmetry_Int_Tables_number 127
_symmetry_space_group_name_Hall '-P 4 2ab'
_cell_length_a 7.1634
_cell_length_b 7.1634
_cell_length_c 2.6626
_cell_angle_alpha 90.00
_cell_angle_beta 90.00
_cell_angle_gamma 90.00
loop_
_atom_site_label
_atom_site_type_symbol
_atom_site_fract_x
_atom_site_fract_y
_atom_site_fract_z
_atom_site_occupancy
Al1 Al 0.0000 0.0000 0.0000 1
Ga1 Ga 0.1269 0.3731 0.0000 1
Ni1 Ni 0.1732 0.6732 0.5000 1
# ΔE_f (eV per atom): -0.22
# Mass density (g/cm³): 6.90
# Distance to the lowest polymorph of the same formula (meV per atom): 263
# DOS at the Fermi energy (states/eV per atom): 0.376
# Crystal system: tetragonal



No. 2
# AlGa2Ni8, relaxed, DFT PBE-GGA
data_AlGa2Ni8
_chemical_formula_sum 'Al2 Ga4 Ni16'
_symmetry_space_group_name_H-M 'C 1 2/m 1'
_symmetry_Int_Tables_number 12
_cell_length_a 6.3913
_cell_length_b 11.2054
_cell_length_c 4.1973
_cell_angle_alpha 90.00
_cell_angle_beta 116.84
_cell_angle_gamma 90.00
loop_
_symmetry_equiv_pos_as_xyz
'x,y,z'
'-x,-y,-z'
'-x,y,-z'
'x,-y,z'
'x+1/2,y+1/2,z'
'-x+1/2,-y+1/2,-z'
'-x+1/2,y+1/2,-z'
'x+1/2,-y+1/2,z'
loop_
_atom_site_label
_atom_site_type_symbol
_atom_site_fract_x
_atom_site_fract_y
_atom_site_fract_z
_atom_site_occupancy
Al1 Al 0.0000 0.0000 0.0000 1
Ga1 Ga 0.0000 0.3049 0.5000 1
Ni1 Ni 0.0000 0.2096 0.0000 1
Ni2 Ni 0.0959 0.5000 0.8092 1
Ni3 Ni 0.2103 0.1093 0.6336 1
# ΔE_f (eV per atom): -0.16
# Mass density (g/cm³): 7.87
# Distance to the lowest polymorph of the same formula (meV per atom): 108
# DOS at the Fermi energy (states/eV per atom): 0.915
# Crystal system: monoclinic



No. 3
# AlGa3Ni7, relaxed, DFT PBE-GGA
data_AlGa3Ni7
_chemical_formula_sum 'Al2 Ga6 Ni14'
_symmetry_space_group_name_H-M 'C 1 2/m 1'
_symmetry_Int_Tables_number 12
_cell_length_a 7.9430
_cell_length_b 8.4934
_cell_length_c 4.6933
_cell_angle_alpha 90.00
_cell_angle_beta 114.64
_cell_angle_gamma 90.00
loop_
_symmetry_equiv_pos_as_xyz
'x,y,z'
'-x,-y,-z'
'-x,y,-z'
'x,-y,z'
'x+1/2,y+1/2,z'
'-x+1/2,-y+1/2,-z'
'-x+1/2,y+1/2,-z'
'x+1/2,-y+1/2,z'
loop_
_atom_site_label
_atom_site_type_symbol
_atom_site_fract_x
_atom_site_fract_y
_atom_site_fract_z
_atom_site_occupancy
Al1 Al 0.0000 0.0000 0.0000 1
Ga1 Ga 0.0000 0.2781 0.5000 1
Ga2 Ga 0.0000 0.5000 0.0000 1
Ni1 Ni 0.0000 0.0000 0.5000 1
Ni2 Ni 0.1719 0.2560 0.1800 1
Ni3 Ni 0.2009 0.5000 0.5470 1
# ΔE_f (eV per atom): -0.13
# Mass density (g/cm³): 7.47
# DOS at the Fermi energy (states/eV per atom): 0.617
# Crystal system: monoclinic